#A
A geometry-optimized ZnRe structure, computed with PBE.

abc: 10.173 2.837 6.263
angles: 90.00 104.24 90.00
Fractional coordinates of all 12 atoms:
Zn  0.000  0.000  0.000
Zn  0.047  0.000  0.610
Zn  0.396  0.000  0.268
Zn  0.500  0.500  0.000
Zn  0.547  0.500  0.610
Zn  0.896  0.500  0.268
Re  0.176  0.500  0.337
Re  0.219  0.500  0.944
Re  0.326  0.000  0.665
Re  0.676  0.000  0.337
Re  0.719  0.000  0.944
Re  0.826  0.500  0.665

- magnetization (μB per cell) = 0.0
- symmetry = Cm

---

#B
A geometry-optimized ZnRe structure, computed with PBE.

abc: 4.448 15.696 2.683
angles: 90.00 90.00 90.00
Fractional coordinates of all 12 atoms:
Zn  0.000  0.000  0.000
Zn  0.000  0.357  0.000
Zn  0.000  0.643  0.000
Zn  0.500  0.143  0.000
Zn  0.500  0.500  0.000
Zn  0.500  0.857  0.000
Re  0.000  0.207  0.500
Re  0.000  0.500  0.500
Re  0.000  0.793  0.500
Re  0.500  0.000  0.500
Re  0.500  0.293  0.500
Re  0.500  0.707  0.500

- magnetization (μB per cell) = 0.0
- symmetry = Cmmm

---

On energetic grounds, #A is preferred over the next structure by 305 meV per atom.